*w*
Computed, not measured: a relaxed structure of Th2NbCd at the PBE level of DFT.

Summary:
Mass density in g cm⁻³: 10.2
Crystal system: trigonal

Lattice parameters (Å, degrees): 3.2671 3.2671 35.2033 90.00 90.00 120.00
Closest atoms and distances in Å follow each position.
Space group R-3m (No. 166, hexagonal axes)
Asymmetric unit:
Th: 0.0000 0.0000 0.0837  1 Nb 2.95, 6 Th 3.27
Nb: 0.0000 0.0000 0.0000  2 Th 2.95, 6 Nb 3.27
Cd: 0.0000 0.0000 0.5000  6 Cd 3.27, 6 Th 3.48

=====

*x*
Computed, not measured: a relaxed structure of Th2NbCd at the PBE level of DFT.

Summary:
Mass density in g cm⁻³: 10.1
Crystal system: tetragonal

Lattice parameters (Å, degrees): 3.6958 3.6958 8.0176 90.00 90.00 90.00
Closest atoms and distances in Å follow each position.
Space group P4/mmm (No. 123)
Asymmetric unit:
Th: 0.0000 0.0000 0.2251  4 Nb 3.18, 4 Cd 3.42
Nb: 0.5000 0.5000 0.0000  8 Th 3.18
Cd: 0.5000 0.5000 0.5000  8 Th 3.42, 4 Cd 3.70

=====

Stability verdict: *x*, ahead by 0.357 eV/atom